A relaxed BC3 crystal, computed with PBE.

Values from the calculation:
As for the formation energy: 0.280 eV/atom. As for the energy above the most stable polymorph in this dataset: 39 meV per atom. Its space group is P3m1, No. 156. As for the density of states at the Fermi level: 0.49 states/eV/f.u.

```
12
Lattice="2.577 0.000 0.000 -1.288 2.232 0.000 0.000 0.000 12.909" Properties=species:S:1:pos:R:3 pbc="T T T"
B 0.000 0.000 0.000
B 0.000 0.000 6.348
B 0.000 1.488 10.103
C 0.000 0.000 1.610
C 0.000 0.000 8.012
C 0.000 1.488 2.119
C 0.000 1.488 3.675
C 0.000 1.488 8.458
C 1.288 0.744 4.199
C 1.288 0.744 5.721
C 1.288 0.744 10.772
C 1.288 0.744 12.195
```